# 1
Computed, not measured: a relaxed structure of RbGa5Au2 at the PBE level of DFT.

## Properties
E   -0.222 Ry per atom
Magnetic moment   0.000 μB/cell
Calculated formation energy   -1.486 eV/f.u.

Cell lengths 4.418, 7.481, 10.644 Å; angles 90.00, 90.00, 90.00 degrees
Space group Immm (No. 71)
Symmetry-distinct sites (fractional):
Rb 0.000 0.000 0.000 [2 per cell]
Ga 0.000 0.189 0.358 [8 per cell]
Ga 0.000 0.500 0.000 [2 per cell]
Au 0.000 0.500 0.240 [4 per cell]

# 2
Computed, not measured: a relaxed structure of Rb3Ga4Au4 at the PBE level of DFT.

## Properties
E   -0.204 Ry per atom
Magnetic moment   0.000 μB/cell
Excess energy over the best structure of this formula in the dataset   0.064 eV/atom
Calculated formation energy   -2.455 eV/f.u.

Cell lengths 4.646, 4.980, 26.443 Å; angles 90.00, 90.00, 90.00 degrees
Space group Immm (No. 71)
Symmetry-distinct sites (fractional):
Rb 0.000 0.000 0.000 [2 per cell]
Rb 0.000 0.500 0.353 [4 per cell]
Ga 0.000 0.000 0.248 [4 per cell]
Ga 0.000 0.500 0.102 [4 per cell]
Au 0.000 0.000 0.445 [4 per cell]
Au 0.000 0.500 0.202 [4 per cell]

# 3
Computed, not measured: a relaxed structure of RbGaAu2 at the PBE level of DFT.

## Properties
E   -0.210 Ry per atom
Magnetic moment   0.000 μB/cell
Calculated formation energy   -0.883 eV/f.u.

Cell lengths 9.258, 8.083, 5.677 Å; angles 90.00, 90.01, 90.00 degrees
Space group P2_1/c (No. 14)
Symmetry-distinct sites (fractional):
Rb 0.120 0.103 0.249 [4 per cell]
Ga 0.399 0.529 0.248 [4 per cell]
Au 0.229 0.750 0.498 [4 per cell]
Au 0.439 0.249 0.999 [4 per cell]

# 4
Computed, not measured: a relaxed structure of RbGa6Au5 at the PBE level of DFT.

## Properties
E   -0.232 Ry per atom
Magnetic moment   0.000 μB/cell
Calculated formation energy   -2.429 eV/f.u.

Cell lengths 7.875, 12.021, 6.767 Å; angles 90.00, 120.84, 90.00 degrees
Space group C2/m (No. 12)
Symmetry-distinct sites (fractional):
Rb 0.000 0.000 0.000 [2 per cell]
Ga 0.116 0.204 0.735 [8 per cell]
Ga 0.116 0.500 0.248 [4 per cell]
Au 0.000 0.000 0.500 [2 per cell]
Au 0.000 0.305 0.000 [4 per cell]
Au 0.000 0.386 0.500 [4 per cell]

# 5
Computed, not measured: a relaxed structure of RbGa3Au2 at the PBE level of DFT.

## Properties
E   -0.220 Ry per atom
Magnetic moment   0.000 μB/cell
Excess energy over the best structure of this formula in the dataset   0.027 eV/atom
Calculated formation energy   -1.331 eV/f.u.

Cell lengths 11.713, 10.303, 4.953 Å; angles 90.00, 91.23, 90.00 degrees
Space group C2/c (No. 15)
Symmetry-distinct sites (fractional):
Rb 0.000 0.160 0.250 [4 per cell]
Ga 0.000 0.443 0.750 [4 per cell]
Ga 0.213 0.420 0.248 [8 per cell]
Au 0.200 0.315 0.748 [8 per cell]

# 6
Computed, not measured: a relaxed structure of RbGa4Au at the PBE level of DFT.

## Properties
E   -0.210 Ry per atom
Magnetic moment   0.000 μB/cell
Calculated formation energy   -0.810 eV/f.u.

Cell lengths 6.332, 7.349, 7.370 Å; angles 60.41, 80.18, 88.36 degrees
Space group P-1 (No. 2)
Symmetry-distinct sites (fractional):
Rb 0.236 0.467 0.176 [2 per cell]
Ga 0.088 0.938 0.180 [2 per cell]
Ga 0.262 0.299 0.750 [2 per cell]
Ga 0.338 0.719 0.496 [2 per cell]
Ga 0.346 0.954 0.688 [2 per cell]
Au 0.000 0.000 0.500 [1 per cell]
Au 0.500 0.000 0.000 [1 per cell]

# 7
Computed, not measured: a relaxed structure of Rb2Ga2Au at the PBE level of DFT.

## Properties
E   -0.170 Ry per atom
Magnetic moment   0.000 μB/cell
Excess energy over the best structure of this formula in the dataset   0.024 eV/atom
Calculated formation energy   -0.287 eV/f.u.

Cell lengths 4.638, 4.638, 40.067 Å; angles 90.00, 90.00, 90.00 degrees
Space group I4_1/amd (No. 141, origin choice 2)
Symmetry-distinct sites (fractional):
Rb 0.000 0.250 0.054 [8 per cell]
Ga 0.000 0.250 0.152 [8 per cell]
Au 0.000 0.250 0.375 [4 per cell]

# 8
Computed, not measured: a relaxed structure of RbGa12Au6 at the PBE level of DFT.

## Properties
E   -0.232 Ry per atom
Magnetic moment   0.000 μB/cell
Calculated formation energy   -3.119 eV/f.u.

Cell lengths 12.1327, 12.1327, 9.1878 Å; angles 90.00, 90.00, 120.00 degrees
Space group R-3m (No. 166, hexagonal axes)
Symmetry-distinct sites (fractional):
Rb 0.0000 0.0000 0.0000 [3 per cell]
Ga 0.0000 0.3869 0.5000 [18 per cell]
Ga 0.0826 0.1653 0.3268 [18 per cell]
Au 0.0318 0.5159 0.2445 [18 per cell]

# 9
Computed, not measured: a relaxed structure of RbGa4Au5 at the PBE level of DFT.

## Properties
E   -0.222 Ry per atom
Magnetic moment   0.000 μB/cell
Calculated formation energy   -0.754 eV/f.u.

Cell lengths 7.868, 7.868, 8.808 Å; angles 90.00, 90.00, 90.00 degrees
Space group P4/nmm (No. 129, origin choice 2)
Symmetry-distinct sites (fractional):
Rb 0.250 0.750 0.000 [2 per cell]
Ga 0.061 0.750 0.375 [8 per cell]
Au 0.076 0.076 0.341 [8 per cell]
Au 0.250 0.250 0.729 [2 per cell]

# 10
Computed, not measured: a relaxed structure of Rb5GaAu2 at the PBE level of DFT.

## Properties
E   -0.140 Ry per atom
Magnetic moment   0.000 μB/cell
Calculated formation energy   -0.858 eV/f.u.

Cell lengths 4.343, 17.299, 22.995 Å; angles 90.00, 90.00, 90.00 degrees
Space group Cmcm (No. 63)
Symmetry-distinct sites (fractional):
Rb 0.000 0.094 0.250 [4 per cell]
Rb 0.000 0.169 0.077 [8 per cell]
Rb 0.000 0.403 0.119 [8 per cell]
Ga 0.000 0.291 0.250 [4 per cell]
Au 0.000 0.242 0.685 [8 per cell]

# 11
Computed, not measured: a relaxed structure of Rb2Ga5Au4 at the PBE level of DFT.

## Properties
E   -0.218 Ry per atom
Magnetic moment   0.000 μB/cell
Calculated formation energy   -2.509 eV/f.u.

Cell lengths 6.456, 12.329, 14.069 Å; angles 90.00, 90.00, 90.00 degrees
Space group Fmmm (No. 69)
Symmetry-distinct sites (fractional):
Rb 0.000 0.000 0.149 [8 per cell]
Ga 0.000 0.000 0.500 [4 per cell]
Ga 0.250 0.250 0.000 [8 per cell]
Ga 0.250 0.250 0.250 [8 per cell]
Au 0.000 0.153 0.371 [16 per cell]

# 12
Computed, not measured: a relaxed structure of RbGa2Au7 at the PBE level of DFT.

## Properties
E   -0.226 Ry per atom
Magnetic moment   0.000 μB/cell
Calculated formation energy   -0.818 eV/f.u.

Cell lengths 7.690, 12.383, 5.026 Å; angles 90.00, 90.00, 90.00 degrees
Space group Cmmm (No. 65)
Symmetry-distinct sites (fractional):
Rb 0.000 0.000 0.000 [2 per cell]
Ga 0.000 0.289 0.500 [4 per cell]
Au 0.000 0.378 0.000 [4 per cell]
Au 0.000 0.500 0.500 [2 per cell]
Au 0.190 0.121 0.500 [8 per cell]